A plane-wave DFT calculation with GGA-PBE was carried out for crystalline BaNa2PdO4 at its relaxed geometry.

Properties
Its uncorrected formation energy is -9.170 eV per formula unit. As for the uncorrected energy: -0.356 Ry per atom. The total magnetization is 0.0 μB per formula unit.

The structure in CIF format:
```
data_BaNa2PdO4
_chemical_formula_sum 'Ba2 Na4 Pd2 O8'
_space_group_name_H-M_alt 'I -4 2 m'
_space_group_IT_number 121
_space_group_name_Hall 'I -4 2'
_cell_length_a 5.9895
_cell_length_b 5.9895
_cell_length_c 7.4830
_cell_angle_alpha 90.00
_cell_angle_beta 90.00
_cell_angle_gamma 90.00
loop_
_atom_site_label
_atom_site_fract_x
_atom_site_fract_y
_atom_site_fract_z
Ba1 0.0000 0.0000 0.0000
Na1 0.0000 0.5000 0.2500
Pd1 0.0000 0.0000 0.5000
O1 0.1653 0.1653 0.6866
```



A plane-wave DFT calculation with GGA-PBE was carried out for crystalline SmHo3Tl4S8 at its relaxed geometry.

Properties
Its uncorrected formation energy is -23.730 eV per formula unit. As for the uncorrected energy: -0.389 Ry per atom. The total magnetization is 0.0 μB per formula unit.

The structure in CIF format:
```
data_SmHo3Tl4S8
_chemical_formula_sum 'Sm3 Ho9 Tl12 S24'
_space_group_name_H-M_alt 'R -3 m'
_space_group_IT_number 166
_space_group_name_Hall '-R 3 2"'
_cell_length_a 8.0821
_cell_length_b 8.0821
_cell_length_c 22.5558
_cell_angle_alpha 90.00
_cell_angle_beta 90.00
_cell_angle_gamma 120.00
loop_
_atom_site_label
_atom_site_fract_x
_atom_site_fract_y
_atom_site_fract_z
Sm1 0.0000 0.0000 0.0000
Ho1 0.0000 0.5000 0.0000
Tl1 0.0000 0.0000 0.5000
Tl2 0.0000 0.5000 0.5000
S1 0.0000 0.0000 0.2679
S2 0.0060 0.5030 0.2671
```



A plane-wave DFT calculation with GGA-PBE was carried out for crystalline BiWI2N at its relaxed geometry.

Properties
Its uncorrected formation energy is 9.327 eV per formula unit. As for the uncorrected energy: -0.278 Ry per atom. The total magnetization is 4.7 μB per formula unit.

The structure in CIF format:
```
data_BiWI2N
_chemical_formula_sum 'Bi1 W1 I2 N1'
_space_group_name_H-M_alt 'P 4/m m m'
_space_group_IT_number 123
_space_group_name_Hall '-P 4 2'
_cell_length_a 6.2864
_cell_length_b 6.2864
_cell_length_c 4.1778
_cell_angle_alpha 90.00
_cell_angle_beta 90.00
_cell_angle_gamma 90.00
loop_
_atom_site_label
_atom_site_fract_x
_atom_site_fract_y
_atom_site_fract_z
Bi1 0.0000 0.0000 0.0000
W1 0.5000 0.5000 0.5000
I1 0.0000 0.5000 0.0000
N1 0.0000 0.0000 0.5000
```



A plane-wave DFT calculation with GGA-PBE was carried out for crystalline Tb3Ce2PrEr6 at its relaxed geometry.

Properties
The calculation puts the calculated formation energy at 0.049 eV/atom. As for the uncorrected energy: -0.351 Ry per atom. The total magnetization is 1.8 μB per formula unit.

The structure in CIF format:
```
data_Tb3Ce2PrEr6
_chemical_formula_sum 'Tb6 Ce4 Pr2 Er12'
_space_group_name_H-M_alt 'C 1 2/m 1'
_space_group_IT_number 12
_space_group_name_Hall '-C 2y'
_cell_length_a 6.1313
_cell_length_b 10.6191
_cell_length_c 11.6821
_cell_angle_alpha 90.00
_cell_angle_beta 100.07
_cell_angle_gamma 90.00
loop_
_atom_site_label
_atom_site_fract_x
_atom_site_fract_y
_atom_site_fract_z
Tb1 0.0000 0.0000 0.0000
Tb2 0.0000 0.3338 0.0000
Ce1 0.0000 0.1667 0.5000
Pr1 0.0000 0.5000 0.5000
Er1 0.2477 0.0000 0.7501
Er2 0.2481 0.1680 0.2498
```